# 1
Compound: LiEuGaSb
Source: Alexandria
Functional: GGA-PBE
Structure: optimized geometry

## Properties
Raw formation energy ... -1.93 eV/f.u.

a = 5.1759 Å, b = 5.1759 Å, c = 5.1759 Å
α = 60.00°, β = 60.00°, γ = 60.00°
Fractional positions:
Sb1 0.7500 0.7500 0.7500
Eu1 0.0000 0.0000 0.0000
Li1 0.5000 0.5000 0.5000
Ga1 0.2500 0.2500 0.2500

---

# 2
Compound: LaCeSnGe
Source: Alexandria
Functional: GGA-PBE
Structure: optimized geometry

## Properties
Offset from the most stable computed form ... 0.000 eV/atom
Energy of formation from the pure elements ... -0.567 eV per atom

a = 4.2779 Å, b = 4.2779 Å, c = 11.9317 Å
α = 90.00°, β = 90.00°, γ = 90.00°
Fractional positions:
Ce1 0.5000 0.5000 0.5000
Ge1 0.5000 0.0000 0.6847
La1 0.5000 0.0000 0.2254
Ge2 0.0000 0.5000 0.3153
Sn1 0.0000 0.5000 0.0517
Ce2 0.0000 0.0000 0.5000
Sn2 0.5000 0.0000 0.9483
La2 0.0000 0.5000 0.7746

---

# 3
Compound: HgPtO2
Source: Alexandria
Functional: GGA-PBE
Structure: optimized geometry

## Properties
Raw formation energy ... 0.01 eV/f.u.

a = 6.9139 Å, b = 6.9139 Å, c = 6.9139 Å
α = 26.83°, β = 26.83°, γ = 26.83°
Fractional positions:
Hg1 0.5000 0.5000 0.5000
Pt1 0.0000 0.0000 0.0000
O1 0.9041 0.9041 0.9041
O2 0.0959 0.0959 0.0959

---

# 4
Compound: MgCu2Ir
Source: Alexandria
Functional: GGA-PBE
Structure: optimized geometry

## Properties
Energy of formation from the pure elements ... 0.035 eV per atom

a = 3.1177 Å, b = 3.1177 Å, c = 5.8099 Å
α = 90.00°, β = 90.00°, γ = 90.00°
Fractional positions:
Cu1 0.0000 0.0000 0.4862
Cu2 0.0000 0.0000 0.0138
Ir1 0.5000 0.5000 0.2500
Mg1 0.5000 0.5000 0.7500

---

no.,V (Å³/f.u.)
1,98.0
2,109.2
3,59.4
4,56.5